Record 1
VASP calculation (PBE) on an optimized crystal structure of Nd2TmAl3.

Geometry as CIF:
```
data_Nd2TmAl3
_chemical_formula_sum 'Nd4 Tm2 Al6'
_space_group_name_H-M_alt 'P 1 2/m 1'
_space_group_IT_number 10
_space_group_name_Hall '-P 2y'
_cell_length_a 5.1798
_cell_length_b 7.3550
_cell_length_c 8.1998
_cell_angle_alpha 90.00
_cell_angle_beta 108.35
_cell_angle_gamma 90.00
loop_
_atom_site_label
_atom_site_fract_x
_atom_site_fract_y
_atom_site_fract_z
Nd1 0.0000 0.0000 0.0000
Nd2 0.0000 0.5000 0.0000
Nd3 0.3366 0.0000 0.6731
Tm1 0.3326 0.5000 0.6650
Al1 0.1705 0.2629 0.3412
Al2 0.5000 0.2636 0.0000
```

Summary:
The value obtained for the total energy is -4.570 eV per atom. The energy relative to the lowest polymorph listed for this composition comes out at 14.9 meV/atom. The value obtained for the formation energy is -364 meV per atom.

---

Record 2
VASP calculation (PBE) on an optimized crystal structure of NdTm5Al3.

Geometry as CIF:
```
data_NdTm5Al3
_chemical_formula_sum 'Nd2 Tm10 Al6'
_space_group_name_H-M_alt 'P 63/m c m'
_space_group_IT_number 193
_space_group_name_Hall '-P 6c 2'
_cell_length_a 9.0267
_cell_length_b 9.0267
_cell_length_c 6.5975
_cell_angle_alpha 90.00
_cell_angle_beta 90.00
_cell_angle_gamma 120.00
loop_
_atom_site_label
_atom_site_fract_x
_atom_site_fract_y
_atom_site_fract_z
Nd1 0.0000 0.0000 0.0000
Tm1 0.0000 0.3323 0.2500
Tm2 0.3333 0.6667 0.0000
Al1 0.0000 0.3401 0.7500
```

Summary:
The value obtained for the total energy is -4.522 eV per atom. The value obtained for the formation energy is -261 meV per atom.

---

Record 3
VASP calculation (PBE) on an optimized crystal structure of NdTm3Al.

Geometry as CIF:
```
data_NdTm3Al
_chemical_formula_sum 'Nd4 Tm12 Al4'
_space_group_name_H-M_alt 'C 1 2/m 1'
_space_group_IT_number 12
_space_group_name_Hall '-C 2y'
_cell_length_a 12.9027
_cell_length_b 3.5816
_cell_length_c 12.3976
_cell_angle_alpha 90.00
_cell_angle_beta 94.51
_cell_angle_gamma 90.00
loop_
_atom_site_label
_atom_site_fract_x
_atom_site_fract_y
_atom_site_fract_z
Nd1 0.2267 0.0000 0.2474
Tm1 0.0304 0.0000 0.6940
Tm2 0.1347 0.5000 0.4831
Tm3 0.1405 0.0000 0.9528
Al1 0.0452 0.5000 0.1198
```

Summary:
The value obtained for the total energy is -4.522 eV per atom. The energy relative to the lowest polymorph listed for this composition comes out at 0.0 meV/atom. The value obtained for the formation energy is -137 meV per atom.

---

Record 4
VASP calculation (PBE) on an optimized crystal structure of Nd14TmAl.

Geometry as CIF:
```
data_Nd14TmAl
_chemical_formula_sum 'Nd28 Tm2 Al2'
_space_group_name_H-M_alt 'A m m 2'
_space_group_IT_number 38
_space_group_name_Hall 'A 2 -2'
_cell_length_a 10.2482
_cell_length_b 10.2178
_cell_length_c 10.2199
_cell_angle_alpha 90.00
_cell_angle_beta 90.00
_cell_angle_gamma 90.00
loop_
_atom_site_label
_atom_site_fract_x
_atom_site_fract_y
_atom_site_fract_z
Nd1 0.0000 0.0000 0.9999
Nd2 0.0000 0.0000 0.4998
Nd3 0.0000 0.2492 0.2499
Nd4 0.2575 0.0000 0.7545
Nd5 0.2585 0.2456 0.0000
Nd6 0.2594 0.0000 0.2453
Nd7 0.5000 0.2487 0.7504
Tm1 0.5000 0.0000 0.5002
Al1 0.5000 0.0000 0.9995
```

Summary:
The value obtained for the total energy is -4.693 eV per atom. The value obtained for the formation energy is -8 meV per atom.

---

Record 5
VASP calculation (PBE) on an optimized crystal structure of Nd2TmAl3.

Geometry as CIF:
```
data_Nd2TmAl3
_chemical_formula_sum 'Nd4 Tm2 Al6'
_space_group_name_H-M_alt 'P 63/m m c'
_space_group_IT_number 194
_space_group_name_Hall '-P 6c 2c'
_cell_length_a 6.0449
_cell_length_b 6.0449
_cell_length_c 9.3686
_cell_angle_alpha 90.00
_cell_angle_beta 90.00
_cell_angle_gamma 120.00
loop_
_atom_site_label
_atom_site_fract_x
_atom_site_fract_y
_atom_site_fract_z
Nd1 0.3333 0.6667 0.0637
Tm1 0.0000 0.0000 0.0000
Al1 0.1801 0.3602 0.7500
```

Summary:
The value obtained for the total energy is -4.584 eV per atom. The energy relative to the lowest polymorph listed for this composition comes out at 0.0 meV/atom. The value obtained for the formation energy is -379 meV per atom.

---

Record 6
VASP calculation (PBE) on an optimized crystal structure of NdTm3Al.

Geometry as CIF:
```
data_NdTm3Al
_chemical_formula_sum 'Nd8 Tm24 Al8'
_space_group_name_H-M_alt 'C 1 2/c 1'
_space_group_IT_number 15
_space_group_name_Hall '-C 2yc'
_cell_length_a 12.2330
_cell_length_b 14.0468
_cell_length_c 6.9342
_cell_angle_alpha 90.00
_cell_angle_beta 99.55
_cell_angle_gamma 90.00
loop_
_atom_site_label
_atom_site_fract_x
_atom_site_fract_y
_atom_site_fract_z
Nd1 0.1169 0.1885 0.1665
Tm1 0.1139 0.0581 0.6152
Tm2 0.1277 0.3527 0.5290
Tm3 0.1712 0.4085 0.0250
Al1 0.0000 0.2336 0.7500
Al2 0.0000 0.4926 0.2500
```

Summary:
The value obtained for the total energy is -4.352 eV per atom. The energy relative to the lowest polymorph listed for this composition comes out at 170.5 meV/atom. The value obtained for the formation energy is 33 meV per atom.